Entry 1:
AlIn2O (GGA-PBE, relaxed); volume = 21.458 Å³/atom; crystal system = monoclinic; SG = No. 3; energy relative to the lowest polymorph listed for this composition = 194 meV per atom
1.0
4.7309 0.0000 0.0334
0.0000 5.5235 0.0000
-0.2280 0.0000 6.5678
In O Al
4 2 2
direct
0.3163 0.0667 0.6821
0.0000 0.8084 0.0000
0.6837 0.0667 0.3179
0.5000 0.4615 0.0000
0.0000 0.7938 0.5000
0.0000 0.3361 0.5000
0.2485 0.5660 0.4048
0.7515 0.5660 0.5952

***

Entry 2:
MgGa4Cu6 (GGA-PBE, relaxed); volume = 15.909 Å³/atom; formation enthalpy at 0 K = 0.002 eV/atom; crystal system = tetragonal; SG = No. 121
1.0
-1.5950 1.3751 6.0062
3.5580 -5.0541 -1.5187
4.2768 3.4012 -3.2636
Ga Cu Mg
4 6 1
direct
0.0000 0.0984 0.5243
0.5741 0.4757 0.4757
0.4259 0.9016 0.9016
0.0000 0.5243 0.0984
0.6700 0.2516 0.2516
0.0000 0.4184 0.7484
0.5000 0.0000 0.5000
0.0000 0.7484 0.4184
0.3300 0.5816 0.5816
0.5000 0.5000 0.0000
0.0000 0.0000 0.0000

***

Entry 3:
YThScAg (GGA-PBE, relaxed); volume = 25.948 Å³/atom; formation enthalpy at 0 K = -0.133 eV/atom; crystal system = tetragonal; SG = No. 99
1.0
-3.2371 0.3858 -1.4617
-1.1753 -2.8149 1.8599
-2.1640 4.9300 6.0938
Ag Th Y Sc
1 1 1 1
direct
0.0000 0.0000 0.5528
0.0000 0.0000 0.0864
0.5000 0.5000 0.7874
0.5000 0.5000 0.3582

***

Entry 4:
Cu2Ir2Pd (GGA-PBE, relaxed); volume = 14.474 Å³/atom; formation enthalpy at 0 K = 0.333 eV/atom; crystal system = tetragonal; SG = No. 127; energy relative to the lowest polymorph listed for this composition = 0 meV per atom
1.0
7.2508 0.0000 0.0000
0.0000 7.2508 0.0000
0.0000 0.0000 2.7531
Cu Ir Pd
4 4 2
direct
0.6737 0.8263 0.5000
0.1737 0.6737 0.5000
0.3263 0.1737 0.5000
0.8263 0.3263 0.5000
0.6249 0.1249 0.0000
0.1249 0.3751 0.0000
0.3751 0.8751 0.0000
0.8751 0.6249 0.0000
0.0000 0.0000 0.0000
0.5000 0.5000 0.0000

***

Entry 5:
Ba2LiZrC (GGA-PBE, relaxed); volume = 28.327 Å³/atom; formation enthalpy at 0 K = 0.986 eV/atom; crystal system = tetragonal; SG = No. 123
1.0
-2.5666 -1.4828 -5.0758
0.9628 -3.9297 0.6611
-5.1046 -0.7782 2.8084
Ba C Li Zr
2 1 1 1
direct
0.0000 0.0000 0.5000
0.5000 0.0000 0.0000
0.0000 0.0000 0.0000
0.0000 0.5000 0.0000
0.5000 0.5000 0.5000

***

Entry 6:
La4TlCo2 (GGA-PBE, relaxed); volume = 27.115 Å³/atom; formation enthalpy at 0 K = -0.161 eV/atom; crystal system = triclinic; SG = No. 1
1.0
-7.4115 -5.0338 0.7039
4.7849 0.7886 -7.6014
4.4691 -2.2607 5.0069
Tl Co La
2 4 8
direct
0.2018 0.6771 0.3824
0.9209 0.9440 0.8788
0.4851 0.4075 0.6437
0.8187 0.8862 0.4397
0.1333 0.5657 0.9384
0.6452 0.2334 0.1388
0.7894 0.2004 0.8080
0.0285 0.2293 0.4351
0.8774 0.5409 0.5762
0.7916 0.6231 0.0745
0.4517 0.5370 0.3053
0.2778 0.0963 0.7203
0.4797 0.7763 0.9357
0.3490 0.0329 0.2232

***

Entry 7:
YTi2H (GGA-PBE, relaxed); volume = 18.401 Å³/atom; crystal system = cubic; SG = No. 227; energy relative to the lowest polymorph listed for this composition = 0 meV per atom
1.0
-0.8056 -0.2857 -5.8634
-4.9345 -3.1728 0.8326
-5.1201 1.8060 -2.3785
Ti Y H
4 2 2
direct
0.3751 0.6250 0.2500
0.3750 0.6251 0.7500
0.3749 0.1250 0.2500
0.8750 0.6249 0.7500
0.0000 0.0000 0.0000
0.7500 0.2500 0.5000
0.2500 0.7500 0.5000
0.5000 0.5000 0.0000

***

Entry 8:
CdCoRe (GGA-PBE, relaxed); volume = 15.243 Å³/atom; formation enthalpy at 0 K = 0.341 eV/atom; crystal system = trigonal; SG = No. 156; energy relative to the lowest polymorph listed for this composition = 59 meV per atom
1.0
2.7760 0.0000 0.0000
-1.3880 2.4041 0.0000
0.0000 0.0000 6.8525
Re Cd Co
1 1 1
direct
0.6667 0.3333 0.6343
0.0000 0.0000 0.0127
0.3333 0.6667 0.3530

***

Question: The highest volume belongs to which entry?
Answer: Ba2LiZrC

***

Question: Which of these has the highest volume?
Answer: Ba2LiZrC

***

Question: Look up the volume of the sixth one.
Answer: 27.115 Å³/atom

***

Please write out number 2 again, unchanged.
MgGa4Cu6 (GGA-PBE, relaxed); volume = 15.909 Å³/atom; formation enthalpy at 0 K = 0.002 eV/atom; crystal system = tetragonal; SG = No. 121
1.0
-1.5950 1.3751 6.0062
3.5580 -5.0541 -1.5187
4.2768 3.4012 -3.2636
Ga Cu Mg
4 6 1
direct
0.0000 0.0984 0.5243
0.5741 0.4757 0.4757
0.4259 0.9016 0.9016
0.0000 0.5243 0.0984
0.6700 0.2516 0.2516
0.0000 0.4184 0.7484
0.5000 0.0000 0.5000
0.0000 0.7484 0.4184
0.3300 0.5816 0.5816
0.5000 0.5000 0.0000
0.0000 0.0000 0.0000